Ni2HgHSe: relaxed, PBE.

Results
Calculated total energy in eV per atom: -3.453
Magnetization in μB per atom: 0.000
V in Å³/cell: 72.23

Unit cell a=4.570 b=3.459 c=4.570 alpha=90.00 beta=90.00 gamma=90.00
Sites, in units of the cell vectors:
Ni1 0.000 0.000 0.500
Ni2 0.500 0.000 0.000
Hg1 0.500 0.500 0.500
Se1 0.000 0.000 0.000
H1 0.000 0.500 0.000

---

GaC: relaxed, PBE.

Results
Calculated total energy in eV per atom: -5.659
Magnetization in μB per atom: 0.000
Formation energy from the elements in eV per atom: 0.466
V in Å³/cell: 48.71

Unit cell a=2.596 b=3.236 c=5.797 alpha=90.00 beta=90.00 gamma=90.00
Sites, in units of the cell vectors:
C1 0.250 0.000 0.437
C2 0.750 0.000 0.563
Ga1 0.750 0.500 0.801
Ga2 0.250 0.500 0.199

---

Zr2AlSi: relaxed, PBE.

Results
Calculated total energy in eV per atom: -7.051
Magnetization in μB per atom: 0.000
V in Å³/cell: 74.10

Unit cell a=4.058 b=3.031 c=6.561 alpha=66.70 beta=90.00 gamma=90.00
Sites, in units of the cell vectors:
Si1 0.500 0.750 0.750
Zr1 0.000 0.527 0.506
Zr2 0.000 0.973 0.994
Al1 0.500 0.250 0.250

---

V9Fe4Pt11: relaxed, PBE.

Results
Calculated total energy in eV per atom: -7.914
Magnetization in μB per atom: 0.226
Formation energy from the elements in eV per atom: -0.315
V in Å³/cell: 342.27

Unit cell a=3.862 b=9.801 c=9.801 alpha=112.69 beta=90.00 gamma=90.00
Last column: magnetic moment on the atom in μB.
Sites, in units of the cell vectors:
Pt1 0.000 0.585 0.919  0.09
Pt2 0.000 0.919 0.585  0.09
Pt3 0.000 0.833 0.167  0.04
Pt4 0.000 0.000 0.000  0.00
Pt5 0.000 0.661 0.339  0.11
Pt6 0.000 0.731 0.731  0.09
Pt7 0.000 0.269 0.269  0.09
Pt8 0.000 0.167 0.833  0.04
Pt9 0.000 0.339 0.661  0.11
Pt10 0.000 0.081 0.415  0.09
Pt11 0.000 0.415 0.081  0.09
V1 0.500 0.372 0.872  -0.20
V2 0.500 0.947 0.790  -0.28
V3 0.500 0.790 0.947  -0.28
V4 0.500 0.128 0.628  -0.20
V5 0.500 0.053 0.210  -0.28
V6 0.500 0.872 0.372  -0.20
V7 0.500 0.628 0.128  -0.20
V8 0.500 0.500 0.500  -1.22
V9 0.500 0.210 0.053  -0.28
Fe1 0.500 0.545 0.741  1.98
Fe2 0.500 0.455 0.259  1.98
Fe3 0.500 0.259 0.455  1.98
Fe4 0.500 0.741 0.545  1.98

---

NdAl2PtAu2: relaxed, PBE.

Results
Calculated total energy in eV per atom: -4.725
Magnetization in μB per atom: 0.000
Formation energy from the elements in eV per atom: -0.583
V in Å³/cell: 130.31

Unit cell a=4.747 b=4.747 c=5.784 alpha=90.00 beta=90.00 gamma=90.00
Sites, in units of the cell vectors:
Nd1 0.000 0.000 0.500
Al1 0.500 0.000 0.000
Al2 0.000 0.500 0.000
Pt1 0.000 0.000 0.000
Au1 0.500 0.500 0.264
Au2 0.500 0.500 0.736

---

LiAcIO5: relaxed, PBE.

Results
Calculated total energy in eV per atom: -5.664
Magnetization in μB per atom: 0.000
V in Å³/cell: 235.79

Unit cell a=5.912 b=5.912 c=7.735 alpha=102.97 beta=102.97 gamma=108.96
Sites, in units of the cell vectors:
O1 0.648 0.748 0.917
O2 0.105 0.712 0.920
O3 0.895 0.288 0.080
O4 0.059 0.941 0.250
O5 0.941 0.059 0.750
O6 0.352 0.252 0.083
O7 0.712 0.105 0.420
O8 0.748 0.648 0.417
O9 0.252 0.352 0.583
O10 0.288 0.895 0.580
Li1 0.309 0.691 0.750
Li2 0.691 0.309 0.250
Ac1 0.665 0.335 0.750
Ac2 0.335 0.665 0.250
I1 0.000 0.000 0.000
I2 0.000 0.000 0.500

---

Y5Si3: relaxed, PBE.

Results
Calculated total energy in eV per atom: -6.796
Magnetization in μB per atom: 0.000
V in Å³/cell: 395.49

Unit cell a=8.456 b=8.456 c=6.387 alpha=90.00 beta=90.00 gamma=120.00
Sites, in units of the cell vectors:
Y1 0.757 0.757 0.250
Y2 0.243 0.243 0.750
Y3 0.243 0.000 0.250
Y4 0.000 0.757 0.750
Y5 0.667 0.333 0.500
Y6 0.757 0.000 0.750
Y7 0.000 0.243 0.250
Y8 0.333 0.667 0.500
Y9 0.667 0.333 0.000
Y10 0.333 0.667 0.000
Si1 0.394 0.000 0.750
Si2 0.606 0.000 0.250
Si3 0.394 0.394 0.250
Si4 0.000 0.606 0.250
Si5 0.606 0.606 0.750
Si6 0.000 0.394 0.750

---

Pu4Se3N: relaxed, PBE.

Results
Calculated total energy in eV per atom: -10.857
Magnetization in μB per atom: 2.804
V in Å³/cell: 182.09

Unit cell a=3.955 b=6.977 c=6.977 alpha=108.98 beta=90.00 gamma=90.00
Last column: magnetic moment on the atom in μB.
Sites, in units of the cell vectors:
Pu1 0.000 0.786 0.786  5.40
Pu2 0.500 0.778 0.222  5.39
Pu3 0.000 0.214 0.214  5.40
Pu4 0.500 0.222 0.778  5.39
N1 0.500 0.000 0.000  -0.23
Se1 0.500 0.500 0.500  -0.12
Se2 0.000 0.000 0.500  -0.10
Se3 0.000 0.500 0.000  -0.10

---

SrTe2P: relaxed, PBE.

Results
Calculated total energy in eV per atom: -3.679
Magnetization in μB per atom: 0.000
V in Å³/cell: 110.84

Unit cell a=5.143 b=5.143 c=4.261 alpha=90.00 beta=90.00 gamma=100.39
Sites, in units of the cell vectors:
Te1 0.500 0.000 0.000
Te2 0.000 0.500 0.000
P1 0.000 0.000 0.500
Sr1 0.500 0.500 0.500

---

Cs2CdGaCl6: relaxed, PBE.

Results
Calculated total energy in eV per atom: -3.081
Magnetization in μB per atom: 0.000
V in Å³/cell: 292.88

Unit cell a=7.445 b=7.445 c=7.459 alpha=60.06 beta=60.06 gamma=90.00
Sites, in units of the cell vectors:
Cl1 0.745 0.745 0.511
Cl2 0.255 0.255 0.489
Cl3 0.256 0.256 0.000
Cl4 0.744 0.744 0.000
Cl5 0.256 0.744 0.000
Cl6 0.744 0.256 0.000
Cs1 0.250 0.750 0.500
Cs2 0.750 0.250 0.500
Ga1 0.500 0.500 0.000
Cd1 0.000 0.000 0.000

---

TbDyIr: relaxed, PBE.

Results
Calculated total energy in eV per atom: -6.696
Magnetization in μB per atom: 0.000
Formation energy from the elements in eV per atom: -0.665
V in Å³/cell: 153.49

Unit cell a=3.874 b=7.177 c=7.998 alpha=132.17 beta=90.00 gamma=105.66
Sites, in units of the cell vectors:
Tb1 0.558 0.116 0.139
Tb2 0.148 0.297 0.619
Dy1 0.310 0.620 0.184
Dy2 0.902 0.804 0.666
Ir1 0.596 0.192 0.825
Ir2 0.863 0.725 0.980

---

InRh2Se: relaxed, PBE.

Results
Calculated total energy in eV per atom: -5.222
Magnetization in μB per atom: 0.000
V in Å³/cell: 66.86

Unit cell a=4.556 b=4.556 c=4.556 alpha=60.00 beta=60.00 gamma=60.00
Sites, in units of the cell vectors:
In1 0.500 0.500 0.500
Rh1 0.750 0.750 0.750
Rh2 0.250 0.250 0.250
Se1 0.000 0.000 0.000